No. 1
! Li2Ta2Al2CoIr | the Open Quantum Materials Database | GGA-PBE | optimized geometry; values from VASP
&SYSTEM
  ibrav = 0, nat = 8, ntyp = 5
/
ATOMIC_SPECIES
Li 6.94 Li.upf
Ta 180.95 Ta.upf
Al 26.98 Al.upf
Co 58.93 Co.upf
Ir 192.22 Ir.upf
ATOMIC_POSITIONS crystal
Li 0.000 0.000 0.000
Li 0.500 0.500 0.500
Ta 0.000 0.500 0.739
Ta 0.500 0.000 0.261
Al 0.000 0.500 0.256
Al 0.500 0.000 0.744
Co 0.000 0.000 0.500
Ir 0.500 0.500 0.000
CELL_PARAMETERS angstrom
4.268 0.000 0.000
0.000 4.268 0.000
0.000 0.000 6.058
! **E**: -55.0 eV per cell
! **Crystal system**: tetragonal


No. 2
! CuTe5Pt3 | the Open Quantum Materials Database | GGA-PBE | optimized geometry; values from VASP
&SYSTEM
  ibrav = 0, nat = 9, ntyp = 3
/
ATOMIC_SPECIES
Cu 63.55 Cu.upf
Te 127.60 Te.upf
Pt 195.08 Pt.upf
ATOMIC_POSITIONS crystal
Cu 0.000 0.000 0.000
Te 0.000 0.000 0.500
Te 0.333 0.667 0.231
Te 0.333 0.667 0.769
Te 0.667 0.333 0.231
Te 0.667 0.333 0.769
Pt 0.000 0.500 0.500
Pt 0.500 0.000 0.500
Pt 0.500 0.500 0.500
CELL_PARAMETERS angstrom
6.146 0.000 0.000
-3.073 5.323 0.000
0.000 0.000 7.514
! **E**: -35.6 eV per cell
! **Crystal system**: hexagonal


No. 3
! TaSbW2 | the Open Quantum Materials Database | GGA-PBE | optimized geometry; values from VASP
&SYSTEM
  ibrav = 0, nat = 4, ntyp = 3
/
ATOMIC_SPECIES
Ta 180.95 Ta.upf
Sb 121.76 Sb.upf
W 183.84 W.upf
ATOMIC_POSITIONS crystal
Ta 0.000 0.000 0.000
Sb 0.750 0.750 0.750
W 0.250 0.250 0.250
W 0.500 0.500 0.500
CELL_PARAMETERS angstrom
0.000 3.280 3.280
3.280 0.000 3.280
3.280 3.280 0.000
! **E**: -39.9 eV per cell
! **Crystal system**: cubic


No. 4
! Er2Br | the Open Quantum Materials Database | GGA-PBE | optimized geometry; values from VASP
&SYSTEM
  ibrav = 0, nat = 6, ntyp = 2
/
ATOMIC_SPECIES
Er 167.26 Er.upf
Br 79.90 Br.upf
ATOMIC_POSITIONS crystal
Er 0.000 0.000 0.000
Er 0.000 0.000 0.500
Er 0.000 0.500 0.000
Er 0.500 0.000 0.000
Br 0.375 0.375 0.375
Br 0.625 0.625 0.625
CELL_PARAMETERS angstrom
0.000 4.617 4.617
4.617 0.000 4.617
4.617 4.617 0.000
! **Crystal system**: cubic
! **Distance to the lowest polymorph of the same formula**: 0 meV per atom


No. 5
! La3Ag4Sn2Ge2 | the Open Quantum Materials Database | GGA-PBE | optimized geometry; values from VASP
&SYSTEM
  ibrav = 0, nat = 11, ntyp = 4
/
ATOMIC_SPECIES
La 138.91 La.upf
Ag 107.87 Ag.upf
Sn 118.71 Sn.upf
Ge 72.64 Ge.upf
ATOMIC_POSITIONS crystal
La 0.000 0.000 0.000
La 0.375 0.875 0.500
La 0.625 0.125 0.500
Ag 0.034 0.339 0.695
Ag 0.357 0.661 0.695
Ag 0.643 0.339 0.305
Ag 0.966 0.661 0.305
Sn 0.217 0.217 0.000
Sn 0.783 0.783 0.000
Ge 0.320 0.500 0.820
Ge 0.680 0.500 0.180
CELL_PARAMETERS angstrom
-2.340 3.639 7.764
2.340 -3.639 7.764
2.340 3.639 -7.764
! **E**: -50.0 eV per cell
! **Crystal system**: orthorhombic


No. 6
! Na2Pr | the Open Quantum Materials Database | GGA-PBE | optimized geometry; values from VASP
&SYSTEM
  ibrav = 0, nat = 12, ntyp = 2
/
ATOMIC_SPECIES
Na 22.99 Na.upf
Pr 140.91 Pr.upf
ATOMIC_POSITIONS crystal
Na 0.000 0.000 0.000
Na 0.000 0.000 0.500
Na 0.171 0.341 0.250
Na 0.171 0.829 0.250
Na 0.341 0.171 0.750
Na 0.659 0.829 0.250
Na 0.829 0.171 0.750
Na 0.829 0.659 0.750
Pr 0.333 0.667 0.563
Pr 0.333 0.667 0.937
Pr 0.667 0.333 0.063
Pr 0.667 0.333 0.437
CELL_PARAMETERS angstrom
6.478 0.000 0.000
-3.239 5.610 0.000
0.000 0.000 10.446
! **Crystal system**: hexagonal
! **Distance to the lowest polymorph of the same formula**: 5 meV per atom


No. 7
! TaTlCoHg | the Open Quantum Materials Database | GGA-PBE | optimized geometry; values from VASP
&SYSTEM
  ibrav = 0, nat = 4, ntyp = 4
/
ATOMIC_SPECIES
Ta 180.95 Ta.upf
Tl 204.38 Tl.upf
Co 58.93 Co.upf
Hg 200.59 Hg.upf
ATOMIC_POSITIONS crystal
Ta 0.000 0.000 0.000
Tl 0.500 0.500 0.500
Co 0.750 0.750 0.750
Hg 0.250 0.250 0.250
CELL_PARAMETERS angstrom
0.000 3.313 3.313
3.313 0.000 3.313
3.313 3.313 0.000
! **Crystal system**: cubic
! **Distance to the lowest polymorph of the same formula**: 0 meV per atom


No. 8
! PmSi2Ni2 | the Open Quantum Materials Database | GGA-PBE | optimized geometry; values from VASP
&SYSTEM
  ibrav = 0, nat = 10, ntyp = 3
/
ATOMIC_SPECIES
Pm 145.00 Pm.upf
Si 28.09 Si.upf
Ni 58.69 Ni.upf
ATOMIC_POSITIONS crystal
Pm 0.125 0.125 0.125
Pm 0.875 0.875 0.875
Si 0.183 0.567 0.183
Si 0.433 0.817 0.433
Si 0.567 0.183 0.567
Si 0.817 0.433 0.817
Ni 0.267 0.267 0.483
Ni 0.483 0.483 0.267
Ni 0.517 0.517 0.733
Ni 0.733 0.733 0.517
CELL_PARAMETERS angstrom
0.000 4.919 6.031
2.723 0.000 6.031
2.723 4.919 0.000
! **E**: -61.1 eV per cell
! **Crystal system**: orthorhombic


No. 9
! PmGdNO | the Open Quantum Materials Database | GGA-PBE | optimized geometry; values from VASP
&SYSTEM
  ibrav = 0, nat = 8, ntyp = 4
/
ATOMIC_SPECIES
Pm 145.00 Pm.upf
Gd 157.25 Gd.upf
N 14.01 N.upf
O 16.00 O.upf
ATOMIC_POSITIONS crystal
Pm 0.250 0.750 0.000
Pm 0.750 0.250 0.000
Gd 0.250 0.250 0.394
Gd 0.750 0.750 0.606
N 0.250 0.250 0.856
N 0.750 0.750 0.144
O 0.250 0.750 0.500
O 0.750 0.250 0.500
CELL_PARAMETERS angstrom
4.285 0.000 0.000
0.000 4.285 0.000
0.000 0.000 8.035
! **Crystal system**: tetragonal
! **Distance to the lowest polymorph of the same formula**: 531 meV per atom


No. 10
! SrNdPO | the Open Quantum Materials Database | GGA-PBE | optimized geometry; values from VASP
&SYSTEM
  ibrav = 0, nat = 8, ntyp = 4
/
ATOMIC_SPECIES
Sr 87.62 Sr.upf
Nd 144.24 Nd.upf
P 30.97 P.upf
O 16.00 O.upf
ATOMIC_POSITIONS crystal
Sr 0.000 0.049 0.000
Sr 0.000 0.951 0.500
Nd 0.500 0.374 0.352
Nd 0.500 0.626 0.852
P 0.500 0.220 0.730
P 0.500 0.780 0.230
O 0.000 0.260 0.281
O 0.000 0.740 0.781
CELL_PARAMETERS angstrom
4.232 0.000 0.000
0.000 6.650 0.000
0.000 0.000 7.116
! **Crystal system**: orthorhombic
! **Distance to the lowest polymorph of the same formula**: 72 meV per atom


No. 11
! ScTc2B | the Open Quantum Materials Database | GGA-PBE | optimized geometry; values from VASP
&SYSTEM
  ibrav = 0, nat = 4, ntyp = 3
/
ATOMIC_SPECIES
Sc 44.96 Sc.upf
Tc 98.00 Tc.upf
B 10.81 B.upf
ATOMIC_POSITIONS crystal
Sc 0.000 0.000 0.000
Tc 0.250 0.250 0.250
Tc 0.500 0.500 0.500
B 0.750 0.750 0.750
CELL_PARAMETERS angstrom
0.000 3.014 3.014
3.014 0.000 3.014
3.014 3.014 0.000
! **E**: -33.0 eV per cell
! **Crystal system**: cubic


No. 12
! Nd3Mg3GaPt2 | the Open Quantum Materials Database | GGA-PBE | optimized geometry; values from VASP
&SYSTEM
  ibrav = 0, nat = 9, ntyp = 4
/
ATOMIC_SPECIES
Nd 144.24 Nd.upf
Mg 24.30 Mg.upf
Ga 69.72 Ga.upf
Pt 195.08 Pt.upf
ATOMIC_POSITIONS crystal
Nd 0.000 0.418 0.000
Nd 0.418 0.000 0.000
Nd 0.582 0.582 0.000
Mg 0.000 0.754 0.500
Mg 0.246 0.246 0.500
Mg 0.754 0.000 0.500
Ga 0.000 0.000 0.000
Pt 0.333 0.667 0.500
Pt 0.667 0.333 0.500
CELL_PARAMETERS angstrom
7.521 0.000 0.000
-3.760 6.513 0.000
0.000 0.000 4.262
! **E**: -40.6 eV per cell
! **Crystal system**: hexagonal


Number 1: mass density 10.25 g/cm3. Number 2: mass density 8.69 g/cm3. Number 3: mass density 15.77 g/cm3. Number 4: mass density 6.99 g/cm3. Number 5: mass density 7.73 g/cm3. Number 6: mass density 3.27 g/cm3. Number 7: mass density 14.72 g/cm3. Number 8: mass density 6.55 g/cm3. Number 9: mass density 7.48 g/cm3. Number 10: mass density 4.62 g/cm3. Number 11: mass density 7.64 g/cm3. Number 12: mass density 7.68 g/cm3.